This record from Alexandria describes a relaxed structure of Ga2Pd7Se2. The functional is PBE.

a b c (Å): 6.3379 5.7816 5.7816
angles (deg): 109.06 100.01 100.01
Fractional positions:
Pd (0.3025, 0.5642, 0.0728)
Pd (0.6878, 0.4249, 0.4249)
Pd (0.6975, 0.4358, 0.9272)
Pd (0.5000, 0.0000, 0.0000)
Pd (0.3025, 0.0728, 0.5642)
Pd (0.6975, 0.9272, 0.4358)
Pd (0.3122, 0.5751, 0.5751)
Ga (0.0000, 0.6790, 0.3210)
Ga (0.0000, 0.3210, 0.6790)
Se (0.7810, 0.8305, 0.8305)
Se (0.2190, 0.1695, 0.1695)

Computed properties:
spin magnetization = 0.00 μB per formula unit
Fermi-level density of states = 0.51 states/eV per atom
space group = C2/m, No. 12
V = 191 Å³ per cell
energy relative to the elements, uncorrected = -0.3107 eV per atom